The following is a PBE-GGA calculation of KLiCl3 after structural relaxation, from Alexandria.

Properties
- E: -2.543 eV/atom
- Crystal system: cubic

Cell lengths 5.8597, 5.8597, 5.8597 Å; angles 90.00, 90.00, 90.00 degrees
Closest atoms and distances in Å follow each position.
Fractional coordinates of all 5 atoms:
K1 0.0000 0.0000 0.0000  6 Cl 2.93
Li1 0.5000 0.5000 0.5000  12 Cl 4.14
Cl1 0.0000 0.0000 0.5000  2 K 2.93
Cl2 0.0000 0.5000 0.0000  2 K 2.93
Cl3 0.5000 0.0000 0.0000  2 K 2.93


The following is a PBE-GGA calculation of LaPm2Pr4Y2 after structural relaxation, from Alexandria.

Properties
- E: -5.147 eV/atom
- Crystal system: monoclinic

Cell lengths 8.2172, 8.2172, 8.2004 Å; angles 107.44, 107.44, 36.91 degrees
Closest atoms and distances in Å follow each position.
Fractional coordinates of all 9 atoms:
La1 0.0000 0.0000 0.0000  6 Pr 3.67, 2 Pm 3.67, 4 Y 3.70
Pm1 0.1111 0.1111 0.6664  3 Y 3.66-3.67, 7 Pr 3.67-3.68, 1 La 3.67, 1 Pm 3.67
Pm2 0.8889 0.8889 0.3336  3 Y 3.66-3.67, 7 Pr 3.67-3.68, 1 La 3.67, 1 Pm 3.67
Pr1 0.2224 0.2224 0.3315  3 Y 3.62-3.67, 1 La 3.67, 3 Pm 3.67-3.68, 5 Pr 3.68-3.69
Pr2 0.4447 0.4447 0.6667  4 Pr 3.66-3.69, 4 Pm 3.67, 2 La 3.67, 2 Y 3.68-3.70
Pr3 0.5553 0.5553 0.3333  4 Pr 3.66-3.69, 4 Pm 3.67, 2 La 3.67, 2 Y 3.68-3.70
Pr4 0.7776 0.7776 0.6685  3 Y 3.62-3.67, 1 La 3.67, 3 Pm 3.67-3.68, 5 Pr 3.68-3.69
Y1 0.3317 0.3317 0.0015  5 Pr 3.62-3.70, 2 Y 3.63, 3 Pm 3.66-3.67, 2 La 3.70
Y2 0.6683 0.6683 0.9985  5 Pr 3.62-3.70, 2 Y 3.63, 3 Pm 3.66-3.67, 2 La 3.70


The following is a PBE-GGA calculation of KIN2F after structural relaxation, from Alexandria.

Properties
- E: -3.743 eV/atom
- Crystal system: tetragonal

Cell lengths 4.0727, 4.0727, 5.1318 Å; angles 90.00, 90.00, 90.00 degrees
Closest atoms and distances in Å follow each position.
Fractional coordinates of all 5 atoms:
K1 0.0000 0.0000 0.0000  4 F 2.88
I1 0.5000 0.5000 0.5000  4 N 2.04
N1 0.0000 0.5000 0.5000  2 I 2.04
N2 0.5000 0.0000 0.5000  2 I 2.04
F1 0.5000 0.5000 0.0000  2 I 2.57


The following is a PBE-GGA calculation of SrLa2Si after structural relaxation, from Alexandria.

Properties
- E: -4.485 eV/atom
- Crystal system: tetragonal

Cell lengths 3.9125, 3.9125, 9.3400 Å; angles 90.00, 90.00, 90.00 degrees
Closest atoms and distances in Å follow each position.
Fractional coordinates of all 4 atoms:
Sr1 0.0000 0.0000 0.0000  4 Sr 3.91, 8 La 4.21
La1 0.5000 0.5000 0.3401  1 La 2.99, 4 Si 3.14
La2 0.5000 0.5000 0.6599  1 La 2.99, 4 Si 3.14
Si1 0.0000 0.0000 0.5000  8 La 3.14


Among the records above, which one has the highest E? KLiCl3


Copy entry 4 word for word.
The following is a PBE-GGA calculation of SrLa2Si after structural relaxation, from Alexandria.

Properties
- E: -4.485 eV/atom
- Crystal system: tetragonal

Cell lengths 3.9125, 3.9125, 9.3400 Å; angles 90.00, 90.00, 90.00 degrees
Closest atoms and distances in Å follow each position.
Fractional coordinates of all 4 atoms:
Sr1 0.0000 0.0000 0.0000  4 Sr 3.91, 8 La 4.21
La1 0.5000 0.5000 0.3401  1 La 2.99, 4 Si 3.14
La2 0.5000 0.5000 0.6599  1 La 2.99, 4 Si 3.14
Si1 0.0000 0.0000 0.5000  8 La 3.14